Record 1
# Sc2SCl

An optimized crystal structure of Sc2SCl (PBE, Alexandria).

a = 3.5812 Å, b = 3.5812 Å, c = 7.1347 Å
α = 75.46°, β = 75.46°, γ = 60.00°
Atoms (fractional coordinates):
Sc 0.0706 0.0706 0.7883
Sc 0.2661 0.2661 0.2016
S 0.6677 0.6677 0.9969
Cl 0.4956 0.4956 0.5132

Values from the calculation:
M_tot = 0.0 μB per cell
raw total energy = -0.2260 hartree per atom
D(E_F) = 3.34 states/eV per cell

---

Record 2
# Tb2PrNpO8

An optimized crystal structure of Tb2PrNpO8 (PBE, Alexandria).

a = 3.9441 Å, b = 5.4509 Å, c = 7.5334 Å
α = 90.00°, β = 90.00°, γ = 94.11°
Atoms (fractional coordinates):
Tb 0.5000 0.4999 0.7439
Tb 0.5000 0.5001 0.2561
Pr 0.0000 0.0000 0.5000
Np 0.0000 0.0000 0.0000
O 0.0281 0.7605 0.2162
O 0.5465 0.7775 0.0000
O 0.9718 0.2393 0.2162
O 0.9719 0.2395 0.7838
O 0.4535 0.2225 0.0000
O 0.0282 0.7607 0.7838
O 0.4906 0.7391 0.5000
O 0.5094 0.2609 0.5000

Values from the calculation:
M_tot = 0.0 μB per cell
raw total energy = -0.3201 hartree per atom
D(E_F) = 1.29 states/eV per cell

---

Record 3
# TmGa4Hg

An optimized crystal structure of TmGa4Hg (PBE, Alexandria).

a = 5.5649 Å, b = 5.5649 Å, c = 5.5649 Å
α = 60.00°, β = 60.00°, γ = 60.00°
Atoms (fractional coordinates):
Tm 0.0000 0.0000 0.0000
Hg 0.2500 0.2500 0.2500
Ga 0.6253 0.6253 0.1240
Ga 0.6253 0.1240 0.6253
Ga 0.6253 0.6253 0.6253
Ga 0.1240 0.6253 0.6253

Values from the calculation:
M_tot = 0.0 μB per cell
energy relative to the elements = -173 meV/atom
raw total energy = -0.1098 hartree per atom
D(E_F) = 4.26 states/eV per cell

---

Record 4
# RbYRuCl2

An optimized crystal structure of RbYRuCl2 (PBE, Alexandria).

a = 5.0042 Å, b = 5.4445 Å, c = 5.0042 Å
α = 90.00°, β = 90.00°, γ = 90.00°
Atoms (fractional coordinates):
Y 0.5000 0.5000 0.5000
Ru 0.0000 0.0000 0.0000
Rb 0.0000 0.5000 0.0000
Cl 0.0000 0.0000 0.5000
Cl 0.5000 0.0000 0.0000

Values from the calculation:
M_tot = 0.0 μB per cell
raw total energy = -0.1306 hartree per atom
D(E_F) = 6.58 states/eV per cell

---

Record 5
# Tb2Tl2Rh

An optimized crystal structure of Tb2Tl2Rh (PBE, Alexandria).

a = 3.5692 Å, b = 3.5692 Å, c = 10.1448 Å
α = 100.13°, β = 100.13°, γ = 90.00°
Atoms (fractional coordinates):
Tb 0.5825 0.5825 0.1649
Tb 0.4175 0.4175 0.8351
Tl 0.8016 0.8016 0.6032
Tl 0.1984 0.1984 0.3968
Rh 0.0000 0.0000 0.0000

Values from the calculation:
M_tot = 0.0 μB per cell
energy relative to the elements = -428 meV/atom
raw total energy = -0.1726 hartree per atom
D(E_F) = 2.57 states/eV per cell

---

Record 6
# Mg4HIr2

An optimized crystal structure of Mg4HIr2 (PBE, Alexandria).

a = 6.5284 Å, b = 5.0073 Å, c = 3.9879 Å
α = 113.46°, β = 72.20°, γ = 119.00°
Atoms (fractional coordinates):
Mg 0.6492 0.4228 0.8980
Mg 0.4928 0.8940 0.2111
Mg 0.1484 0.9282 0.9008
Mg 0.9969 0.4071 0.2160
H 0.6190 0.5458 0.4741
Ir 0.8358 0.9466 0.5663
Ir 0.3051 0.3990 0.5580

Values from the calculation:
M_tot = 0.0 μB per cell
raw total energy = -0.1558 hartree per atom
D(E_F) = 2.34 states/eV per cell

---

Record 7
# YHo3Ir8

An optimized crystal structure of YHo3Ir8 (PBE, Alexandria).

a = 5.3551 Å, b = 5.3551 Å, c = 8.7059 Å
α = 90.00°, β = 90.00°, γ = 120.00°
Atoms (fractional coordinates):
Y 0.0000 0.0000 0.5673
Ho 0.6667 0.3333 0.4326
Ho 0.6667 0.3333 0.0670
Ho 0.0000 0.0000 0.9334
Ir 0.3333 0.6667 0.4998
Ir 0.3333 0.6667 0.9999
Ir 0.5033 0.0067 0.7505
Ir 0.5033 0.4967 0.7505
Ir 0.9933 0.4967 0.7505
Ir 0.1634 0.3268 0.2496
Ir 0.1634 0.8366 0.2496
Ir 0.6732 0.8366 0.2496

Values from the calculation:
M_tot = 0.0 μB per cell
energy relative to the elements = -818 meV/atom
raw total energy = -0.3090 hartree per atom
D(E_F) = 4.31 states/eV per cell

---

Record 8
# Cs3KCr2Cl9

An optimized crystal structure of Cs3KCr2Cl9 (PBE, Alexandria).

a = 7.3986 Å, b = 7.3986 Å, c = 9.3812 Å
α = 90.00°, β = 90.00°, γ = 120.00°
Atoms (fractional coordinates):
Cs 0.3333 0.6667 0.6743
Cs 0.0000 0.0000 0.0000
Cs 0.6667 0.3333 0.3257
K 0.0000 0.0000 0.5000
Cr 0.3333 0.6667 0.1530
Cr 0.6667 0.3333 0.8470
Cl 0.8186 0.1814 0.7029
Cl 0.8186 0.6373 0.7029
Cl 0.3627 0.1814 0.7029
Cl 0.6373 0.8186 0.2971
Cl 0.1814 0.3627 0.2971
Cl 0.1814 0.8186 0.2971
Cl 0.5000 0.0000 0.0000
Cl 0.0000 0.5000 0.0000
Cl 0.5000 0.5000 0.0000

Values from the calculation:
M_tot = 7.0 μB per cell
raw total energy = -0.1542 hartree per atom
D(E_F) = 5.66 states/eV per cell

---

Record 9
# Tb2Be3CoCu12

An optimized crystal structure of Tb2Be3CoCu12 (PBE, Alexandria).

a = 7.1242 Å, b = 7.1242 Å, c = 7.1242 Å
α = 64.35°, β = 64.35°, γ = 64.35°
Atoms (fractional coordinates):
Tb 0.6061 0.6061 0.6061
Tb 0.3939 0.3939 0.3939
Be 0.5000 0.0000 0.0000
Be 0.0000 0.5000 0.0000
Be 0.0000 0.0000 0.5000
Co 0.0000 0.0000 0.0000
Cu 0.3360 0.3360 0.8969
Cu 0.8759 0.8759 0.3786
Cu 0.3786 0.8759 0.8759
Cu 0.8969 0.3360 0.3360
Cu 0.8759 0.3786 0.8759
Cu 0.3360 0.8969 0.3360
Cu 0.6640 0.6640 0.1031
Cu 0.1241 0.1241 0.6214
Cu 0.6214 0.1241 0.1241
Cu 0.1031 0.6640 0.6640
Cu 0.1241 0.6214 0.1241
Cu 0.6640 0.1031 0.6640

Values from the calculation:
M_tot = 1.2 μB per cell
energy relative to the elements = 375 meV/atom
raw total energy = -0.1428 hartree per atom
D(E_F) = 9.34 states/eV per cell

---

Record 10
# Rh3Au

An optimized crystal structure of Rh3Au (PBE, Alexandria).

a = 2.7725 Å, b = 2.7725 Å, c = 7.8769 Å
α = 90.00°, β = 90.00°, γ = 90.00°
Atoms (fractional coordinates):
Au 0.0000 0.0000 0.0000
Rh 0.0000 0.0000 0.5000
Rh 0.5000 0.5000 0.2673
Rh 0.5000 0.5000 0.7327

Values from the calculation:
M_tot = 0.0 μB per cell
energy relative to the elements = 100 meV/atom
raw total energy = -0.2291 hartree per atom
D(E_F) = 5.56 states/eV per cell

---

Record 11
# TcP2PtCl

An optimized crystal structure of TcP2PtCl (PBE, Alexandria).

a = 4.6802 Å, b = 4.6802 Å, c = 4.8698 Å
α = 90.00°, β = 90.00°, γ = 90.00°
Atoms (fractional coordinates):
P 0.0000 0.5000 0.0000
P 0.5000 0.0000 0.0000
Tc 0.5000 0.5000 0.5000
Pt 0.0000 0.0000 0.0000
Cl 0.0000 0.0000 0.5000

Values from the calculation:
M_tot = 3.2 μB per cell
raw total energy = -0.1751 hartree per atom
D(E_F) = 2.67 states/eV per cell

---

Record 12
# TbPmZr2

An optimized crystal structure of TbPmZr2 (PBE, Alexandria).

a = 3.3686 Å, b = 3.3686 Å, c = 11.2038 Å
α = 81.35°, β = 81.35°, γ = 60.00°
Atoms (fractional coordinates):
Tb 0.5000 0.5000 0.5000
Zr 0.7507 0.7507 0.7480
Zr 0.2493 0.2493 0.2520
Pm 0.0000 0.0000 0.0000

Values from the calculation:
M_tot = 0.0 μB per cell
energy relative to the elements = 164 meV/atom
raw total energy = -0.2372 hartree per atom
D(E_F) = 5.63 states/eV per cell